(1)
PrDy2HoBi4: relaxed, PBE-GGA.

Summary:
Energy relative to the elements (eV/atom): -0.87
Symmetry: P2/m (10)

Cell lengths 7.819, 4.519, 7.820 Å; angles 90.00, 109.49, 90.00 degrees
Element x y z (fractional)
Pr 0.000 0.000 0.000
Dy 0.000 0.500 0.500
Dy 0.500 0.000 0.500
Ho 0.500 0.500 0.000
Bi 0.254 0.000 0.747
Bi 0.258 0.500 0.257
Bi 0.742 0.500 0.743
Bi 0.746 0.000 0.253



(2)
Mg2SnSb3: relaxed, PBE-GGA.

Summary:
Symmetry: Cc (9)

Cell lengths 8.125, 8.125, 7.846 Å; angles 99.27, 99.27, 119.87 degrees
Element x y z (fractional)
Mg 0.082 0.918 0.500
Mg 0.259 0.759 0.994
Mg 0.759 0.259 0.494
Mg 0.918 0.082 0.000
Sn 0.427 0.594 0.498
Sn 0.594 0.427 0.998
Sb 0.127 0.624 0.611
Sb 0.288 0.456 0.112
Sb 0.456 0.288 0.612
Sb 0.624 0.127 0.111
Sb 0.792 0.964 0.616
Sb 0.964 0.792 0.116



(3)
TbTeS: relaxed, PBE-GGA.

Summary:
Symmetry: Immm (71)

Cell lengths 7.652, 7.652, 7.652 Å; angles 148.37, 136.56, 54.72 degrees
Element x y z (fractional)
Tb 0.161 0.161 0.000
Tb 0.839 0.839 0.000
Te 0.253 0.500 0.753
Te 0.747 0.500 0.247
S 0.286 0.786 0.500
S 0.714 0.214 0.500



(4)
K2AlSe: relaxed, PBE-GGA.

Summary:
Symmetry: Fm-3m (225)

Cell lengths 5.702, 5.702, 5.702 Å; angles 60.00, 60.00, 60.00 degrees
Element x y z (fractional)
K 0.250 0.250 0.250
K 0.750 0.750 0.750
Al 0.000 0.000 0.000
Se 0.500 0.500 0.500



(5)
YAl2Te2: relaxed, PBE-GGA.

Summary:
Symmetry: I4/mmm (139)

Cell lengths 9.308, 9.308, 9.308 Å; angles 156.18, 156.18, 33.94 degrees
Element x y z (fractional)
Y 0.000 0.000 0.000
Al 0.250 0.750 0.500
Al 0.750 0.250 0.500
Te 0.400 0.400 0.000
Te 0.600 0.600 0.000



(6)
NaCaBr2: relaxed, PBE-GGA.

Summary:
Symmetry: I-42d (122)

Cell lengths 8.250, 8.250, 8.250 Å; angles 130.92, 130.92, 71.94 degrees
Element x y z (fractional)
Na 0.000 0.000 0.000
Na 0.750 0.250 0.500
Ca 0.250 0.750 0.500
Ca 0.500 0.500 0.000
Br 0.134 0.625 0.009
Br 0.375 0.384 0.509
Br 0.616 0.125 0.991
Br 0.875 0.866 0.491



(7)
CePd2Pt8: relaxed, PBE-GGA.

Summary:
Energy relative to the elements (eV/atom): -0.27
Symmetry: Immm (71)

Cell lengths 7.605, 7.605, 7.605 Å; angles 150.35, 116.97, 71.18 degrees
Element x y z (fractional)
Ce 0.000 0.000 0.000
Pd 0.337 0.337 0.000
Pd 0.663 0.663 0.000
Pt 0.085 0.832 0.253
Pt 0.169 0.669 0.500
Pt 0.274 0.500 0.774
Pt 0.421 0.168 0.253
Pt 0.579 0.832 0.747
Pt 0.726 0.500 0.226
Pt 0.831 0.331 0.500
Pt 0.915 0.168 0.747



(8)
LiAlC: relaxed, PBE-GGA.

Summary:
Energy relative to the elements (eV/atom): 0.03
Symmetry: P2_1/c (14)

Cell lengths 4.960, 5.368, 6.952 Å; angles 90.00, 126.82, 90.00 degrees
Element x y z (fractional)
Li 0.167 0.055 0.401
Li 0.167 0.445 0.901
Li 0.833 0.555 0.099
Li 0.833 0.945 0.599
Al 0.399 0.598 0.613
Al 0.399 0.902 0.113
Al 0.601 0.098 0.887
Al 0.601 0.402 0.387
C 0.342 0.714 0.321
C 0.342 0.786 0.821
C 0.658 0.214 0.179
C 0.658 0.286 0.679



Values of uncorrected energy, in order: -5.132; -3.345; -5.485; -2.493; -4.504; -2.942; -6.149; -4.932, all in eV/atom.
Values of theoretical density, in order: 9.4; 4.2; 6.6; 2.3; 5.0; 2.4; 16.6; 2.1, all in Mg/m³.